Record 1
# GGA-PBE LaAlCu3, relaxed
data_LaAlCu3
_chemical_formula_sum 'La1 Al1 Cu3'
_space_group_name_H-M_alt 'P 1'
_space_group_IT_number 1
_cell_length_a 4.629
_cell_length_b 4.629
_cell_length_c 4.629
_cell_angle_alpha 90.00
_cell_angle_beta 90.00
_cell_angle_gamma 90.00
loop_
_space_group_symop_operation_xyz
'x,y,z'
loop_
_atom_site_label
_atom_site_fract_x
_atom_site_fract_y
_atom_site_fract_z
La1 0.000 0.000 0.000
Al1 0.500 0.500 0.500
Cu1 0.000 0.500 0.500
Cu2 0.500 0.000 0.500
Cu3 0.500 0.500 0.000
# - Crystal system: cubic
# - Energy of formation from the pure elements: 0.08 eV per formula unit
# - Energy relative to the lowest polymorph listed for this composition: 0.244 eV per atom



Record 2
# GGA-PBE KTiSi2Cl, relaxed
data_KTiSi2Cl
_chemical_formula_sum 'K1 Ti1 Si2 Cl1'
_space_group_name_H-M_alt 'P 1'
_space_group_IT_number 1
_cell_length_a 4.730
_cell_length_b 4.730
_cell_length_c 11.051
_cell_angle_alpha 90.00
_cell_angle_beta 90.00
_cell_angle_gamma 90.00
loop_
_space_group_symop_operation_xyz
'x,y,z'
loop_
_atom_site_label
_atom_site_fract_x
_atom_site_fract_y
_atom_site_fract_z
K1 0.000 0.000 0.000
Ti1 0.000 0.000 0.500
Si1 0.000 0.500 0.500
Si2 0.500 0.000 0.500
Cl1 0.500 0.500 0.000
# - Raw formation energy: 16 kJ/mol of atoms
# - Crystal system: tetragonal



Record 3
# GGA-PBE GdDyCd4, relaxed
data_GdDyCd4
_chemical_formula_sum 'Gd1 Dy1 Cd4'
_space_group_name_H-M_alt 'P 1'
_space_group_IT_number 1
_cell_length_a 5.921
_cell_length_b 5.921
_cell_length_c 5.921
_cell_angle_alpha 60.00
_cell_angle_beta 60.00
_cell_angle_gamma 60.00
loop_
_space_group_symop_operation_xyz
'x,y,z'
loop_
_atom_site_label
_atom_site_fract_x
_atom_site_fract_y
_atom_site_fract_z
Gd1 0.000 0.000 0.000
Dy1 0.750 0.750 0.750
Cd1 0.375 0.375 0.375
Cd2 0.375 0.375 0.875
Cd3 0.375 0.875 0.375
Cd4 0.875 0.375 0.375
# - Crystal system: cubic
# - Energy of formation from the pure elements: -1.60 eV per formula unit



Record 4
# GGA-PBE La2ZnPdC, relaxed
data_La2ZnPdC
_chemical_formula_sum 'La2 Zn1 Pd1 C1'
_space_group_name_H-M_alt 'P 1'
_space_group_IT_number 1
_cell_length_a 5.548
_cell_length_b 5.548
_cell_length_c 4.510
_cell_angle_alpha 90.00
_cell_angle_beta 90.00
_cell_angle_gamma 90.00
loop_
_space_group_symop_operation_xyz
'x,y,z'
loop_
_atom_site_label
_atom_site_fract_x
_atom_site_fract_y
_atom_site_fract_z
La1 0.000 0.500 0.000
La2 0.500 0.000 0.000
Zn1 0.000 0.000 0.000
Pd1 0.000 0.000 0.500
C1 0.500 0.500 0.500
# - Crystal system: tetragonal
# - Energy of formation from the pure elements: 5.10 eV per formula unit
# - Energy relative to the lowest polymorph listed for this composition: 1.288 eV per atom



Record 5
# GGA-PBE TlGaHg5, relaxed
data_TlGaHg5
_chemical_formula_sum 'Tl2 Ga2 Hg10'
_space_group_name_H-M_alt 'P 1'
_space_group_IT_number 1
_cell_length_a 6.366
_cell_length_b 6.366
_cell_length_c 11.333
_cell_angle_alpha 111.90
_cell_angle_beta 111.90
_cell_angle_gamma 70.05
loop_
_space_group_symop_operation_xyz
'x,y,z'
loop_
_atom_site_label
_atom_site_fract_x
_atom_site_fract_y
_atom_site_fract_z
Tl1 0.224 0.776 0.750
Tl2 0.776 0.224 0.250
Ga1 0.000 0.500 0.000
Ga2 0.500 0.000 0.500
Hg1 0.083 0.230 0.577
Hg2 0.230 0.083 0.077
Hg3 0.249 0.751 0.250
Hg4 0.339 0.361 0.379
Hg5 0.361 0.339 0.879
Hg6 0.639 0.661 0.121
Hg7 0.661 0.639 0.621
Hg8 0.751 0.249 0.750
Hg9 0.770 0.917 0.923
Hg10 0.917 0.770 0.423
# - Crystal system: monoclinic
# - Energy of formation from the pure elements: 0.15 eV per formula unit
# - Energy relative to the lowest polymorph listed for this composition: 0.000 eV per atom



Record 6
# GGA-PBE Pm3GaI3, relaxed
data_Pm3GaI3
_chemical_formula_sum 'Pm12 Ga4 I12'
_space_group_name_H-M_alt 'P 1'
_space_group_IT_number 1
_cell_length_a 10.795
_cell_length_b 10.795
_cell_length_c 10.795
_cell_angle_alpha 109.47
_cell_angle_beta 109.47
_cell_angle_gamma 109.47
loop_
_space_group_symop_operation_xyz
'x,y,z'
loop_
_atom_site_label
_atom_site_fract_x
_atom_site_fract_y
_atom_site_fract_z
Pm1 0.015 0.029 0.265
Pm2 0.015 0.485 0.750
Pm3 0.029 0.265 0.015
Pm4 0.235 0.265 0.750
Pm5 0.235 0.471 0.485
Pm6 0.265 0.015 0.029
Pm7 0.265 0.750 0.235
Pm8 0.471 0.485 0.235
Pm9 0.485 0.235 0.471
Pm10 0.485 0.750 0.015
Pm11 0.750 0.015 0.485
Pm12 0.750 0.235 0.265
Ga1 0.000 0.250 0.500
Ga2 0.250 0.250 0.250
Ga3 0.250 0.500 0.000
Ga4 0.500 0.000 0.250
I1 0.250 0.757 0.743
I2 0.250 0.993 0.507
I3 0.507 0.250 0.993
I4 0.507 0.757 0.515
I5 0.515 0.507 0.757
I6 0.743 0.250 0.757
I7 0.743 0.993 0.985
I8 0.757 0.515 0.507
I9 0.757 0.743 0.250
I10 0.985 0.743 0.993
I11 0.993 0.507 0.250
I12 0.993 0.985 0.743
# - Raw formation energy: -104 kJ/mol of atoms
# - Crystal system: cubic
# - Energy relative to the lowest polymorph listed for this composition: 0.000 eV per atom



Record 7
# GGA-PBE Ca2Au2Br, relaxed
data_Ca2Au2Br
_chemical_formula_sum 'Ca4 Au4 Br2'
_space_group_name_H-M_alt 'P 1'
_space_group_IT_number 1
_cell_length_a 8.196
_cell_length_b 8.196
_cell_length_c 3.996
_cell_angle_alpha 90.00
_cell_angle_beta 90.00
_cell_angle_gamma 90.00
loop_
_space_group_symop_operation_xyz
'x,y,z'
loop_
_atom_site_label
_atom_site_fract_x
_atom_site_fract_y
_atom_site_fract_z
Ca1 0.177 0.323 0.000
Ca2 0.323 0.823 0.000
Ca3 0.677 0.177 0.000
Ca4 0.823 0.677 0.000
Au1 0.121 0.621 0.500
Au2 0.379 0.121 0.500
Au3 0.621 0.879 0.500
Au4 0.879 0.379 0.500
Br1 0.000 0.000 0.000
Br2 0.500 0.500 0.000
# - Raw formation energy: -95 kJ/mol of atoms
# - Crystal system: tetragonal
# - Energy relative to the lowest polymorph listed for this composition: 0.000 eV per atom



Record 8
# GGA-PBE YHo3O, relaxed
data_YHo3O
_chemical_formula_sum 'Y1 Ho3 O1'
_space_group_name_H-M_alt 'P 1'
_space_group_IT_number 1
_cell_length_a 4.921
_cell_length_b 4.921
_cell_length_c 4.921
_cell_angle_alpha 90.00
_cell_angle_beta 90.00
_cell_angle_gamma 90.00
loop_
_space_group_symop_operation_xyz
'x,y,z'
loop_
_atom_site_label
_atom_site_fract_x
_atom_site_fract_y
_atom_site_fract_z
Y1 0.000 0.000 0.000
Ho1 0.000 0.500 0.500
Ho2 0.500 0.000 0.500
Ho3 0.500 0.500 0.000
O1 0.500 0.500 0.500
# - Raw formation energy: -106 kJ/mol of atoms
# - Crystal system: cubic



Record 9
# GGA-PBE Pu2B2Rh3, relaxed
data_Pu2B2Rh3
_chemical_formula_sum 'Pu2 B2 Rh3'
_space_group_name_H-M_alt 'P 1'
_space_group_IT_number 1
_cell_length_a 5.408
_cell_length_b 5.408
_cell_length_c 6.913
_cell_angle_alpha 119.71
_cell_angle_beta 119.71
_cell_angle_gamma 34.05
loop_
_space_group_symop_operation_xyz
'x,y,z'
loop_
_atom_site_label
_atom_site_fract_x
_atom_site_fract_y
_atom_site_fract_z
Pu1 0.176 0.176 0.360
Pu2 0.824 0.824 0.640
B1 0.145 0.145 0.753
B2 0.855 0.855 0.247
Rh1 0.379 0.379 0.048
Rh2 0.500 0.500 0.500
Rh3 0.621 0.621 0.952
# - Crystal system: monoclinic
# - Energy of formation from the pure elements: -1.72 eV per formula unit



Record 10
# GGA-PBE TiOs, relaxed
data_TiOs
_chemical_formula_sum 'Ti1 Os1'
_space_group_name_H-M_alt 'P 1'
_space_group_IT_number 1
_cell_length_a 3.091
_cell_length_b 3.091
_cell_length_c 3.091
_cell_angle_alpha 90.00
_cell_angle_beta 90.00
_cell_angle_gamma 90.00
loop_
_space_group_symop_operation_xyz
'x,y,z'
loop_
_atom_site_label
_atom_site_fract_x
_atom_site_fract_y
_atom_site_fract_z
Ti1 0.000 0.000 0.000
Os1 0.500 0.500 0.500
# - Crystal system: cubic
# - Energy of formation from the pure elements: -1.42 eV per formula unit



Record 11
# GGA-PBE SmZnHPt2, relaxed
data_SmZnHPt2
_chemical_formula_sum 'Sm2 Zn2 H2 Pt4'
_space_group_name_H-M_alt 'P 1'
_space_group_IT_number 1
_cell_length_a 5.781
_cell_length_b 5.781
_cell_length_c 7.454
_cell_angle_alpha 90.00
_cell_angle_beta 90.00
_cell_angle_gamma 140.12
loop_
_space_group_symop_operation_xyz
'x,y,z'
loop_
_atom_site_label
_atom_site_fract_x
_atom_site_fract_y
_atom_site_fract_z
Sm1 0.053 0.947 0.750
Sm2 0.947 0.053 0.250
Zn1 0.231 0.769 0.250
Zn2 0.769 0.231 0.750
H1 0.500 0.500 0.000
H2 0.500 0.500 0.500
Pt1 0.346 0.654 0.556
Pt2 0.346 0.654 0.944
Pt3 0.654 0.346 0.056
Pt4 0.654 0.346 0.444
# - Crystal system: orthorhombic
# - Electronic total energy: -50.2 eV/cell



Record 12
# GGA-PBE K2NpAgBr8, relaxed
data_K2NpAgBr8
_chemical_formula_sum 'K2 Np1 Ag1 Br8'
_space_group_name_H-M_alt 'P 1'
_space_group_IT_number 1
_cell_length_a 6.910
_cell_length_b 7.067
_cell_length_c 10.272
_cell_angle_alpha 90.03
_cell_angle_beta 90.03
_cell_angle_gamma 98.07
loop_
_space_group_symop_operation_xyz
'x,y,z'
loop_
_atom_site_label
_atom_site_fract_x
_atom_site_fract_y
_atom_site_fract_z
K1 0.001 0.001 0.233
K2 0.999 0.999 0.767
Np1 0.500 0.500 0.500
Ag1 0.500 0.500 0.000
Br1 0.265 0.197 0.000
Br2 0.266 0.156 0.501
Br3 0.279 0.624 0.312
Br4 0.281 0.625 0.689
Br5 0.719 0.375 0.311
Br6 0.721 0.376 0.688
Br7 0.734 0.844 0.499
Br8 0.735 0.803 0.000
# - Raw formation energy: -112 kJ/mol of atoms
# - Crystal system: triclinic



Record 13
# GGA-PBE LaMg2Tl2, relaxed
data_LaMg2Tl2
_chemical_formula_sum 'La2 Mg4 Tl4'
_space_group_name_H-M_alt 'P 1'
_space_group_IT_number 1
_cell_length_a 8.814
_cell_length_b 8.814
_cell_length_c 3.371
_cell_angle_alpha 90.00
_cell_angle_beta 90.00
_cell_angle_gamma 90.00
loop_
_space_group_symop_operation_xyz
'x,y,z'
loop_
_atom_site_label
_atom_site_fract_x
_atom_site_fract_y
_atom_site_fract_z
La1 0.000 0.000 0.000
La2 0.500 0.500 0.000
Mg1 0.123 0.377 0.000
Mg2 0.377 0.877 0.000
Mg3 0.623 0.123 0.000
Mg4 0.877 0.623 0.000
Tl1 0.174 0.674 0.500
Tl2 0.326 0.174 0.500
Tl3 0.674 0.826 0.500
Tl4 0.826 0.326 0.500
# - Crystal system: tetragonal
# - Energy of formation from the pure elements: -0.87 eV per formula unit
# - Energy relative to the lowest polymorph listed for this composition: 0.073 eV per atom



Record 14
# GGA-PBE BaSmMgTl, relaxed
data_BaSmMgTl
_chemical_formula_sum 'Ba1 Sm1 Mg1 Tl1'
_space_group_name_H-M_alt 'P 1'
_space_group_IT_number 1
_cell_length_a 5.763
_cell_length_b 5.763
_cell_length_c 5.763
_cell_angle_alpha 60.00
_cell_angle_beta 60.00
_cell_angle_gamma 60.00
loop_
_space_group_symop_operation_xyz
'x,y,z'
loop_
_atom_site_label
_atom_site_fract_x
_atom_site_fract_y
_atom_site_fract_z
Ba1 0.000 0.000 0.000
Sm1 0.500 0.500 0.500
Mg1 0.250 0.250 0.250
Tl1 0.750 0.750 0.750
# - Crystal system: cubic
# - Energy of formation from the pure elements: -0.56 eV per formula unit



Record 15
# GGA-PBE NbAlB2, relaxed
data_NbAlB2
_chemical_formula_sum 'Nb2 Al2 B4'
_space_group_name_H-M_alt 'P 1'
_space_group_IT_number 1
_cell_length_a 5.010
_cell_length_b 5.010
_cell_length_c 5.010
_cell_angle_alpha 106.80
_cell_angle_beta 106.80
_cell_angle_gamma 114.97
loop_
_space_group_symop_operation_xyz
'x,y,z'
loop_
_atom_site_label
_atom_site_fract_x
_atom_site_fract_y
_atom_site_fract_z
Nb1 0.000 0.000 0.000
Nb2 0.750 0.250 0.500
Al1 0.250 0.750 0.500
Al2 0.500 0.500 0.000
B1 0.142 0.125 0.517
B2 0.375 0.858 0.983
B3 0.608 0.625 0.483
B4 0.875 0.392 0.017
# - Crystal system: tetragonal
# - Energy of formation from the pure elements: 1.51 eV per formula unit



Record 16
# GGA-PBE Sr2PaH12Pd3, relaxed
data_Sr2PaH12Pd3
_chemical_formula_sum 'Sr2 Pa1 H12 Pd3'
_space_group_name_H-M_alt 'P 1'
_space_group_IT_number 1
_cell_length_a 6.422
_cell_length_b 6.422
_cell_length_c 6.422
_cell_angle_alpha 62.72
_cell_angle_beta 62.72
_cell_angle_gamma 62.72
loop_
_space_group_symop_operation_xyz
'x,y,z'
loop_
_atom_site_label
_atom_site_fract_x
_atom_site_fract_y
_atom_site_fract_z
Sr1 0.115 0.115 0.115
Sr2 0.885 0.885 0.885
Pa1 0.500 0.500 0.500
H1 0.096 0.634 0.634
H2 0.241 0.241 0.617
H3 0.241 0.617 0.241
H4 0.366 0.366 0.904
H5 0.366 0.904 0.366
H6 0.383 0.759 0.759
H7 0.617 0.241 0.241
H8 0.634 0.096 0.634
H9 0.634 0.634 0.096
H10 0.759 0.383 0.759
H11 0.759 0.759 0.383
H12 0.904 0.366 0.366
Pd1 0.000 0.500 0.500
Pd2 0.500 0.000 0.500
Pd3 0.500 0.500 0.000
# - Crystal system: trigonal
# - Electronic total energy: -73.5 eV/cell



Record 17
# GGA-PBE Mg5Cu, relaxed
data_Mg5Cu
_chemical_formula_sum 'Mg5 Cu1'
_space_group_name_H-M_alt 'P 1'
_space_group_IT_number 1
_cell_length_a 5.678
_cell_length_b 5.678
_cell_length_c 7.832
_cell_angle_alpha 112.45
_cell_angle_beta 112.45
_cell_angle_gamma 32.03
loop_
_space_group_symop_operation_xyz
'x,y,z'
loop_
_atom_site_label
_atom_site_fract_x
_atom_site_fract_y
_atom_site_fract_z
Mg1 0.000 0.000 0.000
Mg2 0.329 0.329 0.202
Mg3 0.362 0.362 0.641
Mg4 0.638 0.638 0.359
Mg5 0.671 0.671 0.798
Cu1 0.000 0.000 0.500
# - Crystal system: monoclinic
# - Energy of formation from the pure elements: -0.04 eV per formula unit
# - Energy relative to the lowest polymorph listed for this composition: 0.006 eV per atom



Record 18
# GGA-PBE CdCoTc2, relaxed
data_CdCoTc2
_chemical_formula_sum 'Cd1 Co1 Tc2'
_space_group_name_H-M_alt 'P 1'
_space_group_IT_number 1
_cell_length_a 4.718
_cell_length_b 4.718
_cell_length_c 4.718
_cell_angle_alpha 130.62
_cell_angle_beta 130.62
_cell_angle_gamma 72.41
loop_
_space_group_symop_operation_xyz
'x,y,z'
loop_
_atom_site_label
_atom_site_fract_x
_atom_site_fract_y
_atom_site_fract_z
Cd1 0.000 0.000 0.000
Co1 0.250 0.750 0.500
Tc1 0.500 0.500 0.000
Tc2 0.750 0.250 0.500
# - Crystal system: tetragonal
# - Energy of formation from the pure elements: 1.76 eV per formula unit



Record 19
# GGA-PBE La2Pm2YTm, relaxed
data_La2Pm2YTm
_chemical_formula_sum 'La4 Pm4 Y2 Tm2'
_space_group_name_H-M_alt 'P 1'
_space_group_IT_number 1
_cell_length_a 5.733
_cell_length_b 9.972
_cell_length_c 7.133
_cell_angle_alpha 90.00
_cell_angle_beta 90.00
_cell_angle_gamma 90.00
loop_
_space_group_symop_operation_xyz
'x,y,z'
loop_
_atom_site_label
_atom_site_fract_x
_atom_site_fract_y
_atom_site_fract_z
La1 0.000 0.001 0.000
La2 0.000 0.999 0.500
La3 0.500 0.175 0.250
La4 0.500 0.825 0.750
Pm1 0.000 0.332 0.250
Pm2 0.000 0.668 0.750
Pm3 0.500 0.165 0.750
Pm4 0.500 0.835 0.250
Y1 0.500 0.500 0.000
Y2 0.500 0.500 0.500
Tm1 0.000 0.343 0.750
Tm2 0.000 0.657 0.250
# - Crystal system: orthorhombic
# - Energy of formation from the pure elements: 0.32 eV per formula unit



Record 20
# GGA-PBE MgIn2Ag, relaxed
data_MgIn2Ag
_chemical_formula_sum 'Mg1 In2 Ag1'
_space_group_name_H-M_alt 'P 1'
_space_group_IT_number 1
_cell_length_a 3.269
_cell_length_b 4.333
_cell_length_c 6.278
_cell_angle_alpha 90.00
_cell_angle_beta 90.00
_cell_angle_gamma 90.00
loop_
_space_group_symop_operation_xyz
'x,y,z'
loop_
_atom_site_label
_atom_site_fract_x
_atom_site_fract_y
_atom_site_fract_z
Mg1 0.000 0.000 0.000
In1 0.500 0.500 0.256
In2 0.500 0.500 0.744
Ag1 0.000 0.000 0.500
# - Crystal system: orthorhombic
# - Energy of formation from the pure elements: -0.16 eV per formula unit